RbTmTl | PBE-GGA | optimized geometry

Calculated values
Excess energy over the best structure of this formula in the dataset: 0.0 meV per atom
Total moment: 0.04 μB/f.u.

The structure in CIF format:
```
data_RbTmTl
_chemical_formula_sum 'Rb4 Tm4 Tl4'
_space_group_name_H-M_alt 'F -4 3 m'
_space_group_IT_number 216
_space_group_name_Hall 'F -4 2 3'
_cell_length_a 7.8714
_cell_length_b 7.8714
_cell_length_c 7.8714
_cell_angle_alpha 90.00
_cell_angle_beta 90.00
_cell_angle_gamma 90.00
loop_
_atom_site_label
_atom_site_fract_x
_atom_site_fract_y
_atom_site_fract_z
Rb1 0.0000 0.0000 0.0000
Tm1 0.0000 0.0000 0.5000
Tl1 0.2500 0.2500 0.2500
```